Entry from the Alexandria database: a relaxed structure of NbVGe2 (PBE).

The space group is Fm-3m (No. 225) and the conventional cell measures 6.337, 6.337 and 6.337 Å, with angles of 90.00, 90.00 and 90.00 degrees. The asymmetric unit holds Nb at (0.000, 0.000, 0.000), V at (0.000, 0.000, 0.500) and Ge at (0.250, 0.250, 0.250).

The value obtained for the formation energy from the elements is -0.024 eV/atom. The calculation puts the polymorph energy (0 for the lowest one) at 0.1742 eV per atom.